1.
Density functional theory data (PBE) for GaCuICl3 after structural relaxation.

## Properties
Its crystal system is triclinic. The value obtained for the density is 3.536 g/cm³. The calculation puts the uncorrected energy at -18.45 eV/f.u.

Cell lengths 5.6684, 5.7548, 6.4898 Å; angles 113.16, 115.34, 90.19 degrees
Space group P1 (No. 1)
Inequivalent atoms, fractional coordinates:
Ga  0.0000  0.0000  0.0000
Cu  0.7431  0.2329  0.4888
I  0.6014  0.6210  0.7393
Cl  0.1033  0.1143  0.7517
Cl  0.3613  0.9010  0.2470
Cl  0.8941  0.3351  0.2439

---

2.
Density functional theory data (PBE) for Tl2GaCuCl6 after structural relaxation.

## Properties
Its crystal system is cubic. The value obtained for the density is 5.243 g/cm³. The calculation puts the uncorrected energy at -31.40 eV/f.u.

Cell lengths 9.8514, 9.8514, 9.8514 Å; angles 90.00, 90.00, 90.00 degrees
Space group Fm-3m (No. 225)
Inequivalent atoms, fractional coordinates:
Tl  0.2500  0.2500  0.2500
Ga  0.0000  0.0000  0.0000
Cu  0.0000  0.0000  0.5000
Cl  0.0000  0.0000  0.2467

---

3.
Density functional theory data (PBE) for Cu2HgICl3 after structural relaxation.

## Properties
Its crystal system is monoclinic. The value obtained for the density is 4.871 g/cm³. The calculation puts the uncorrected energy at -17.79 eV/f.u.

Cell lengths 7.8346, 8.0352, 6.0952 Å; angles 90.00, 94.66, 90.00 degrees
Space group Cm (No. 8)
Inequivalent atoms, fractional coordinates:
Cu  0.0000  0.2433  0.0000
Hg  0.2371  0.5000  0.4907
I  0.4605  0.0000  0.7466
Cl  0.0045  0.0000  0.7926
Cl  0.2653  0.2542  0.2114

---

4.
Density functional theory data (PBE) for Ho3CuCl after structural relaxation.

## Properties
Its crystal system is cubic. The value obtained for the density is 7.713 g/cm³. The calculation puts the uncorrected energy at -19.99 eV/f.u. The calculation puts the total magnetic moment at 0.01 μB per cell.

Cell lengths 5.0375, 5.0375, 5.0375 Å; angles 90.00, 90.00, 90.00 degrees
Space group Pm-3m (No. 221)
Inequivalent atoms, fractional coordinates:
Ho  0.0000  0.0000  0.5000
Cu  0.5000  0.5000  0.5000
Cl  0.0000  0.0000  0.0000

---

5.
Density functional theory data (PBE) for Cu2I3Cl after structural relaxation.

## Properties
Its crystal system is monoclinic. The value obtained for the density is 4.967 g/cm³. The calculation puts the uncorrected energy at -14.99 eV/f.u.

Cell lengths 7.2580, 3.6570, 7.6930 Å; angles 90.00, 117.19, 90.00 degrees
Space group Pm (No. 6)
Inequivalent atoms, fractional coordinates:
Cu  0.0000  0.0000  0.0000
Cu  0.4832  0.5000  0.5082
I  0.2312  0.0000  0.5060
I  0.7238  0.0000  0.4884
I  0.7365  0.5000  0.9988
Cl  0.2009  0.5000  0.9985

---

6.
Density functional theory data (PBE) for InCuCl3 after structural relaxation.

## Properties
Its crystal system is triclinic. The value obtained for the density is 3.661 g/cm³. The calculation puts the uncorrected energy at -15.68 eV/f.u.

Cell lengths 6.1964, 6.3117, 7.2926 Å; angles 85.57, 65.35, 89.98 degrees
Space group P1 (No. 1)
Inequivalent atoms, fractional coordinates:
In  0.0000  0.0000  0.0000
In  0.3265  0.4710  0.5102
Cu  0.5903  0.3929  0.9154
Cu  0.7476  0.9273  0.6020
Cl  0.0077  0.8047  0.3044
Cl  0.2010  0.3650  0.9716
Cl  0.3432  0.9210  0.6781
Cl  0.6179  0.1794  0.1786
Cl  0.7536  0.7359  0.8913
Cl  0.8557  0.2738  0.6151

---

What did the fifth record say?
Density functional theory data (PBE) for Cu2I3Cl after structural relaxation.

## Properties
Its crystal system is monoclinic. The value obtained for the density is 4.967 g/cm³. The calculation puts the uncorrected energy at -14.99 eV/f.u.

Cell lengths 7.2580, 3.6570, 7.6930 Å; angles 90.00, 117.19, 90.00 degrees
Space group Pm (No. 6)
Inequivalent atoms, fractional coordinates:
Cu  0.0000  0.0000  0.0000
Cu  0.4832  0.5000  0.5082
I  0.2312  0.0000  0.5060
I  0.7238  0.0000  0.4884
I  0.7365  0.5000  0.9988
Cl  0.2009  0.5000  0.9985

---

Question: uncorrected energy of number 1 (GaCuICl3)?
Answer: -18.45 eV/f.u.

---

What did the fourth record say?
Density functional theory data (PBE) for Ho3CuCl after structural relaxation.

## Properties
Its crystal system is cubic. The value obtained for the density is 7.713 g/cm³. The calculation puts the uncorrected energy at -19.99 eV/f.u. The calculation puts the total magnetic moment at 0.01 μB per cell.

Cell lengths 5.0375, 5.0375, 5.0375 Å; angles 90.00, 90.00, 90.00 degrees
Space group Pm-3m (No. 221)
Inequivalent atoms, fractional coordinates:
Ho  0.0000  0.0000  0.5000
Cu  0.5000  0.5000  0.5000
Cl  0.0000  0.0000  0.0000